The following is a DFT calculation (GGA+U) of a relaxed structure of RbFeNO2.

Calculated values
The electronic total energy is -5.095 eV per atom.

Geometry as CIF:
```
data_RbFeNO2
_chemical_formula_sum 'Rb1 Fe1 N1 O2'
_cell_length_a 4.013
_cell_length_b 4.013
_cell_length_c 4.195
_cell_angle_alpha 90.00
_cell_angle_beta 90.00
_cell_angle_gamma 90.00
_symmetry_space_group_name_H-M 'P 4/m m m'
_symmetry_Int_Tables_number 123
_symmetry_space_group_name_Hall '-P 4 2'
loop_
_atom_site_label
_atom_site_fract_x
_atom_site_fract_y
_atom_site_fract_z
Rb1 0.000 0.000 0.000
Fe1 0.500 0.500 0.500
N1 0.500 0.500 0.000
O1 0.000 0.500 0.500
```